Record 1
# GGA-PBEsol InCu5, optimized geometry
data_InCu5
_chemical_formula_sum 'In2 Cu10'
_cell_length_a 8.413
_cell_length_b 3.619
_cell_length_c 5.364
_cell_angle_alpha 90.00
_cell_angle_beta 109.63
_cell_angle_gamma 90.00
_symmetry_space_group_name_H-M 'C 1 2/m 1'
_symmetry_Int_Tables_number 12
loop_
_symmetry_equiv_pos_as_xyz
'x,y,z'
'-x,-y,-z'
'-x,y,-z'
'x,-y,z'
'x+1/2,y+1/2,z'
'-x+1/2,-y+1/2,-z'
'-x+1/2,y+1/2,-z'
'x+1/2,-y+1/2,z'
loop_
_atom_site_label
_atom_site_fract_x
_atom_site_fract_y
_atom_site_fract_z
In1 0.000 0.000 0.000
Cu1 0.000 0.000 0.500
Cu2 0.166 0.500 0.816
Cu3 0.174 0.500 0.350
# - Calculated total energy: -49.04 eV per cell
# - Mass density: 9.3 Mg/m³

***

Record 2
# GGA-PBEsol InCu2, optimized geometry
data_InCu2
_chemical_formula_sum 'In8 Cu16'
_cell_length_a 5.0372
_cell_length_b 5.0372
_cell_length_c 15.7555
_cell_angle_alpha 90.00
_cell_angle_beta 90.00
_cell_angle_gamma 120.00
_symmetry_space_group_name_H-M 'P 63/m m c'
_symmetry_Int_Tables_number 194
_symmetry_space_group_name_Hall '-P 6c 2c'
loop_
_atom_site_label
_atom_site_fract_x
_atom_site_fract_y
_atom_site_fract_z
In1 0.0000 0.0000 0.0956
In2 0.3333 0.6667 0.1544
Cu1 0.0000 0.5000 0.0000
Cu2 0.1646 0.3292 0.7500
Cu3 0.3333 0.6667 0.6252
# - Calculated total energy: -93.52 eV per cell
# - Mass density: 9.3 Mg/m³

***

Record 3
# GGA-PBEsol In3Cu, optimized geometry
data_In3Cu
_chemical_formula_sum 'In9 Cu3'
_cell_length_a 3.3928
_cell_length_b 3.3928
_cell_length_c 25.8765
_cell_angle_alpha 90.00
_cell_angle_beta 90.00
_cell_angle_gamma 120.00
_symmetry_space_group_name_H-M 'R -3 m'
_symmetry_Int_Tables_number 166
_symmetry_space_group_name_Hall '-R 3 2"'
loop_
_atom_site_label
_atom_site_fract_x
_atom_site_fract_y
_atom_site_fract_z
In1 0.0000 0.0000 0.0000
In2 0.0000 0.0000 0.2374
Cu1 0.0000 0.0000 0.5000
# - Calculated total energy: -38.79 eV per cell
# - Mass density: 7.9 Mg/m³

***

Record 4
# GGA-PBEsol InCu2, optimized geometry
data_InCu2
_chemical_formula_sum 'In1 Cu2'
_cell_length_a 4.2413
_cell_length_b 4.2413
_cell_length_c 2.8115
_cell_angle_alpha 90.00
_cell_angle_beta 90.00
_cell_angle_gamma 120.00
_symmetry_space_group_name_H-M 'P -3 m 1'
_symmetry_Int_Tables_number 164
_symmetry_space_group_name_Hall '-P 3 2"'
loop_
_atom_site_label
_atom_site_fract_x
_atom_site_fract_y
_atom_site_fract_z
In1 0.0000 0.0000 0.0000
Cu1 0.3333 0.6667 0.5508
# - Calculated total energy: -11.36 eV per cell
# - Mass density: 9.2 Mg/m³

***

Record 5
# GGA-PBEsol In2Cu, optimized geometry
data_In2Cu
_chemical_formula_sum 'In8 Cu4'
_cell_length_a 13.763
_cell_length_b 3.124
_cell_length_c 6.067
_cell_angle_alpha 90.00
_cell_angle_beta 115.98
_cell_angle_gamma 90.00
_symmetry_space_group_name_H-M 'C 1 2/m 1'
_symmetry_Int_Tables_number 12
loop_
_symmetry_equiv_pos_as_xyz
'x,y,z'
'-x,-y,-z'
'-x,y,-z'
'x,-y,z'
'x+1/2,y+1/2,z'
'-x+1/2,-y+1/2,-z'
'-x+1/2,y+1/2,-z'
'x+1/2,-y+1/2,z'
loop_
_atom_site_label
_atom_site_fract_x
_atom_site_fract_y
_atom_site_fract_z
In1 0.136 0.000 0.135
In2 0.146 0.000 0.645
Cu1 0.000 0.500 0.265
# - Calculated total energy: -40.61 eV per cell
# - Mass density: 8.3 Mg/m³

***

Record 6
# GGA-PBEsol InCu2Ir, optimized geometry
data_InCu2Ir
_chemical_formula_sum 'In1 Cu2 Ir1'
_cell_length_a 3.831
_cell_length_b 3.831
_cell_length_c 3.839
_cell_angle_alpha 90.00
_cell_angle_beta 90.00
_cell_angle_gamma 90.00
_symmetry_space_group_name_H-M 'P 4/m m m'
_symmetry_Int_Tables_number 123
_symmetry_space_group_name_Hall '-P 4 2'
loop_
_atom_site_label
_atom_site_fract_x
_atom_site_fract_y
_atom_site_fract_z
In1 0.000 0.000 0.000
Cu1 0.000 0.500 0.500
Ir1 0.500 0.500 0.000
# - Calculated total energy: -21.54 eV per cell
# - Mass density: 12.8 Mg/m³

***

Record 7
# GGA-PBEsol InCu2Ir, optimized geometry
data_InCu2Ir
_chemical_formula_sum 'In2 Cu4 Ir2'
_cell_length_a 3.885
_cell_length_b 3.885
_cell_length_c 7.508
_cell_angle_alpha 90.00
_cell_angle_beta 90.00
_cell_angle_gamma 90.00
_symmetry_space_group_name_H-M 'I -4 m 2'
_symmetry_Int_Tables_number 119
_symmetry_space_group_name_Hall 'I -4 -2'
loop_
_atom_site_label
_atom_site_fract_x
_atom_site_fract_y
_atom_site_fract_z
In1 0.000 0.000 0.000
Cu1 0.000 0.000 0.500
Cu2 0.000 0.500 0.750
Ir1 0.000 0.500 0.250
# - Calculated total energy: -42.79 eV per cell
# - Mass density: 12.7 Mg/m³

***

Record 8
# GGA-PBEsol InCuIr, optimized geometry
data_InCuIr
_chemical_formula_sum 'In2 Cu2 Ir2'
_cell_length_a 3.149
_cell_length_b 3.149
_cell_length_c 9.052
_cell_angle_alpha 90.00
_cell_angle_beta 90.00
_cell_angle_gamma 90.00
_symmetry_space_group_name_H-M 'I 4 m m'
_symmetry_Int_Tables_number 107
_symmetry_space_group_name_Hall 'I 4 -2'
loop_
_atom_site_label
_atom_site_fract_x
_atom_site_fract_y
_atom_site_fract_z
In1 0.000 0.000 0.000
Cu1 0.000 0.000 0.332
Ir1 0.000 0.000 0.679
# - Calculated total energy: -33.87 eV per cell
# - Mass density: 13.7 Mg/m³

***

| no. | formation energy from the elements (eV per atom) |
| --- | --- |
| 1 | 0.02 |
| 2 | -0.01 |
| 3 | 0.09 |
| 4 | 0.10 |
| 5 | 0.05 |
| 6 | -0.02 |
| 7 | 0.02 |
| 8 | 0.07 |